DFT (PBE) results for a relaxed Ce2HfNpN6 crystal.

```
Ce2HfNpN6
1.0
5.743 0.000 0.000
0.000 5.842 0.000
-5.710 0.000 8.249
Ce Hf Np N
4 2 2 12
Direct
0.238 0.045 0.248
0.238 0.455 0.748
0.762 0.545 0.252
0.762 0.955 0.752
0.500 0.000 0.000
0.500 0.500 0.500
0.000 0.000 0.500
0.000 0.500 0.000
0.133 0.199 0.937
0.133 0.301 0.437
0.236 0.691 0.940
0.236 0.809 0.440
0.368 0.043 0.749
0.368 0.457 0.249
0.632 0.543 0.751
0.632 0.957 0.251
0.764 0.191 0.560
0.764 0.309 0.060
0.867 0.699 0.563
0.867 0.801 0.063
```

Values from the calculation:
calculated density = 9.36 g cm⁻³
electronic total energy = -9.827 eV per atom
V = 13.836 A^3/atom
ΔE_f (raw) = -1.355 eV per atom